--- 1 ---
The following is a DFT calculation (PBE) of a relaxed structure of CaAlRu3.

abc: 4.6918 4.6918 4.6918
angles: 90.00 90.00 90.00
Last column: nearest neighbours and their distance in Å.
Space group Pm-3m (No. 221)
Asymmetric unit:
Ca1 0.0000 0.0000 0.0000 x1  6 Ru 2.35
Al1 0.5000 0.5000 0.5000 x1  12 Ru 3.32
Ru1 0.0000 0.0000 0.5000 x3  2 Ca 2.35

--- 2 ---
The following is a DFT calculation (PBE) of a relaxed structure of CaAlRu3.

abc: 4.5602 4.5602 4.5602
angles: 90.00 90.00 90.00
Last column: nearest neighbours and their distance in Å.
Space group Pm-3m (No. 221)
Asymmetric unit:
Ca1 0.0000 0.0000 0.0000 x1  12 Ru 3.22
Al1 0.5000 0.5000 0.5000 x1  6 Ru 2.28
Ru1 0.0000 0.5000 0.5000 x3  2 Al 2.28

Ranked by calculated energy, most stable first: 2, 1.